An optimized crystal structure of Cs4CdAs3. Source: the Alexandria database, functional PBE.

Cell lengths 4.5742, 5.7086, 13.1900 Å; angles 90.00, 90.00, 90.00 degrees
With the nearest neighbours (Å) after each atom.
Atoms (fractional coordinates):
Cs (0.0000, 0.0000, 0.0000)  5 As 3.83-3.90, 2 Cd 3.89
Cs (0.0000, 0.5000, 0.4682)  6 As 3.70-3.82
Cs (0.5000, 0.0000, 0.6852)  4 Cd 3.95, 3 As 3.96-4.00
Cs (0.5000, 0.5000, 0.1989)  7 As 3.77-3.98
Cd (0.0000, 0.5000, 0.7992)  2 As 2.63
As (0.0000, 0.0000, 0.2901)  2 As 2.61
As (0.5000, 0.0000, 0.3852)  2 As 2.61
As (0.5000, 0.5000, 0.8973)  2 Cd 2.63

Values from the calculation:
- formation enthalpy at 0 K (eV/atom) = -0.33
- SG = Pmm2 (25)
- Fermi-level density of states (states/eV per atom) = 0.722